# 1
DFT (PBE-GGA) results for a relaxed Y3Ho2Se4 crystal.

Computed properties:
- formation energy from raw total energies (meV/atom) = -1547.3
- energy (eV per atom) = -6.27

abc: 3.9744 3.9744 16.6937
angles: 90.02 89.98 119.99
Element x y z (fractional)
Se  0.3336  0.6664  0.8951
Se  0.0006  0.9994  0.6917
Se  0.6664  0.3336  0.1049
Se  0.9994  0.0006  0.3083
Y  0.6661  0.3339  0.4163
Y  0.3339  0.6661  0.5837
Y  0.0000  0.0000  0.0000
Ho  0.3329  0.6671  0.2076
Ho  0.6671  0.3329  0.7924

# 2
DFT (PBE-GGA) results for a relaxed Y4HoSe6 crystal.

Computed properties:
- formation energy from raw total energies (meV/atom) = -1823.7
- energy (eV per atom) = -6.49

abc: 3.9847 6.9984 20.7578
angles: 90.00 90.00 106.54
Element x y z (fractional)
Se  0.6929  0.3859  0.7500
Se  0.2306  0.4612  0.5909
Se  0.3071  0.6141  0.2500
Se  0.5000  0.0000  0.0000
Se  0.0540  0.1081  0.1672
Se  0.0540  0.1081  0.3328
Se  0.2306  0.4612  0.9091
Se  0.9460  0.8919  0.6672
Se  0.5000  0.0000  0.5000
Se  0.7694  0.5388  0.0909
Se  0.9460  0.8919  0.8328
Se  0.7694  0.5388  0.4091
Y  0.5892  0.1784  0.6274
Y  0.1410  0.2820  0.0384
Y  0.4108  0.8216  0.1274
Y  0.8590  0.7180  0.5384
Y  0.4108  0.8216  0.3726
Y  0.5892  0.1784  0.8726
Y  0.1410  0.2820  0.4616
Y  0.8590  0.7180  0.9616
Ho  0.6523  0.3047  0.2500
Ho  0.3477  0.6953  0.7500

# 3
DFT (PBE-GGA) results for a relaxed Y2HoSe4 crystal.

Computed properties:
- formation energy from raw total energies (meV/atom) = -1833.7
- energy (eV per atom) = -6.33

abc: 4.0935 7.1558 7.9560
angles: 118.19 104.91 90.00
Element x y z (fractional)
Se  0.1216  0.8022  0.2431
Se  0.6339  0.2791  0.2678
Se  0.8784  0.1978  0.7569
Se  0.3661  0.7209  0.7322
Ho  0.0000  0.0000  0.0000
Y  0.2663  0.2557  0.5326
Y  0.7337  0.7443  0.4674

# 4
DFT (PBE-GGA) results for a relaxed Y6HoSe8 crystal.

Computed properties:
- formation energy from raw total energies (meV/atom) = -1486.8
- energy (eV per atom) = -6.24

abc: 8.0763 8.0763 8.0763
angles: 96.33 96.33 96.33
Element x y z (fractional)
Se  0.4037  0.1475  0.6796
Se  0.1475  0.6796  0.4037
Se  0.5963  0.8525  0.3204
Se  0.7758  0.7758  0.7758
Se  0.6796  0.4037  0.1475
Se  0.3204  0.5963  0.8525
Se  0.8525  0.3204  0.5963
Se  0.2242  0.2242  0.2242
Y  0.3751  0.5573  0.1915
Y  0.1915  0.3751  0.5573
Y  0.4427  0.8085  0.6249
Y  0.6249  0.4427  0.8085
Y  0.8085  0.6249  0.4427
Y  0.5573  0.1915  0.3751
Ho  0.0000  0.0000  0.0000

# 5
DFT (PBE-GGA) results for a relaxed Ho7ZnSe5 crystal.

Computed properties:
- formation energy from raw total energies (meV/atom) = -1380.6
- energy (eV per atom) = -5.28

abc: 4.0071 6.9198 24.1796
angles: 90.05 90.00 106.86
Element x y z (fractional)
Ho  0.1928  0.3857  0.1797
Ho  0.8078  0.6155  0.8203
Ho  0.6389  0.2770  0.4631
Ho  0.9095  0.8198  0.3850
Ho  0.8087  0.6172  0.6795
Ho  0.6391  0.2775  0.0369
Ho  0.5315  0.0627  0.7501
Ho  0.4691  0.9385  0.2499
Ho  0.0904  0.1801  0.8852
Ho  0.3615  0.7238  0.9631
Ho  0.1919  0.3839  0.3205
Ho  0.0910  0.1813  0.6150
Ho  0.3616  0.7240  0.5369
Ho  0.9102  0.8211  0.1148
Se  0.4471  0.8939  0.8573
Se  0.7228  0.4461  0.9284
Se  0.5528  0.1058  0.3574
Se  0.0003  0.0006  0.0000
Se  0.7230  0.4465  0.5715
Se  0.2779  0.5551  0.0716
Se  0.5535  0.1074  0.1427
Se  0.4477  0.8952  0.6426
Se  0.0002  0.0005  0.5000
Se  0.2776  0.5545  0.4285
Zn  0.1949  0.3912  0.7495
Zn  0.8056  0.6099  0.2504

# 6
DFT (PBE-GGA) results for a relaxed Ho2ZnSe4 crystal.

Computed properties:
- formation energy from raw total energies (meV/atom) = -1505.8
- energy (eV per atom) = -4.99

abc: 8.1311 8.1311 8.1331
angles: 59.99 59.99 89.98
Element x y z (fractional)
Ho  0.5000  0.0000  0.0000
Ho  0.0000  0.0000  0.0000
Ho  0.5000  0.0000  0.5000
Ho  0.5000  0.5000  0.5000
Zn  0.8749  0.6251  0.7500
Zn  0.1251  0.3749  0.2500
Se  0.7480  0.7518  0.4961
Se  0.2518  0.2480  0.9961
Se  0.7479  0.2441  0.0040
Se  0.2520  0.2482  0.5039
Se  0.2521  0.7559  0.9960
Se  0.7441  0.2479  0.5040
Se  0.2559  0.7521  0.4960
Se  0.7482  0.7520  0.0039

# 7
DFT (PBE-GGA) results for a relaxed Ho2Zn2Se crystal.

Computed properties:
- formation energy from raw total energies (meV/atom) = -892.4
- energy (eV per atom) = -3.93

abc: 4.1085 4.1085 7.8798
angles: 90.00 105.30 119.61
Element x y z (fractional)
Ho  0.8169  0.4083  0.2252
Ho  0.1831  0.5917  0.7748
Se  0.0000  0.0000  0.0000
Zn  0.3458  0.1739  0.5197
Zn  0.6542  0.8261  0.4803

# 8
DFT (PBE-GGA) results for a relaxed Ho6ZnSe4 crystal.

Computed properties:
- formation energy from raw total energies (meV/atom) = -1319.2
- energy (eV per atom) = -5.20

abc: 3.9994 6.9250 20.6150
angles: 90.00 90.00 106.78
Element x y z (fractional)
Se  0.1409  0.2817  0.4615
Se  0.4159  0.8318  0.1250
Se  0.4159  0.8318  0.3750
Se  0.1409  0.2817  0.0385
Se  0.5841  0.1682  0.6250
Se  0.8591  0.7183  0.5385
Se  0.8591  0.7183  0.9615
Se  0.5841  0.1682  0.8750
Ho  0.0557  0.1115  0.3327
Ho  0.7732  0.5464  0.4084
Ho  0.2268  0.4536  0.5916
Ho  0.2268  0.4536  0.9084
Ho  0.7732  0.5464  0.0916
Ho  0.5000  0.0000  0.5000
Ho  0.3288  0.6576  0.2500
Ho  0.9443  0.8885  0.8327
Ho  0.0557  0.1115  0.1673
Ho  0.9443  0.8885  0.6673
Ho  0.5000  0.0000  0.0000
Ho  0.6712  0.3424  0.7500
Zn  0.3337  0.6673  0.7500
Zn  0.6663  0.3327  0.2500

Copy entry 3 word for word.
DFT (PBE-GGA) results for a relaxed Y2HoSe4 crystal.

Computed properties:
- formation energy from raw total energies (meV/atom) = -1833.7
- energy (eV per atom) = -6.33

abc: 4.0935 7.1558 7.9560
angles: 118.19 104.91 90.00
Element x y z (fractional)
Se  0.1216  0.8022  0.2431
Se  0.6339  0.2791  0.2678
Se  0.8784  0.1978  0.7569
Se  0.3661  0.7209  0.7322
Ho  0.0000  0.0000  0.0000
Y  0.2663  0.2557  0.5326
Y  0.7337  0.7443  0.4674